1.
Here is a geometry-optimized CaMgP4 structure from the Alexandria database. Energies are from GGA-PBE.

The formation energy comes out at 0.03 eV per formula unit. The calculation puts the size of the total moment at 0.0 μB/f.u. For the density of states at the Fermi level, the calculation gives 21.34 states/eV per cell.

The space group is F-43m (No. 216) and the conventional cell measures 7.5452, 7.5452 and 7.5452 Å, with angles of 90.00, 90.00 and 90.00 degrees. The inequivalent atoms are Ca at (0.0000, 0.0000, 0.0000), Mg at (0.2500, 0.2500, 0.7500) and P at (0.1182, 0.1182, 0.3818).

=====

2.
Here is a geometry-optimized NiPdSe2 structure from the Alexandria database. Energies are from GGA-PBE.

The energy above the most stable polymorph in this dataset comes out at 0.00 eV/f.u. The energy relative to the elements, uncorrected is -0.22 eV/atom. The calculation puts the size of the total moment at 0.0 μB/f.u. For the density of states at the Fermi level, the calculation gives 5.51 states/eV per cell.

The space group is P-1 (No. 2) and the conventional cell measures 4.9493, 5.5442 and 6.2789 Å, with angles of 87.36, 72.03 and 85.82 degrees. The inequivalent atoms are Ni at (0.2250, 0.0759, 0.0316), Pd at (0.0000, 0.0000, 0.5000), Pd at (0.5000, 0.5000, 0.0000), Se at (0.0169, 0.7124, 0.1965) and Se at (0.4709, 0.1618, 0.2784).

=====

3.
Here is a geometry-optimized Mn3Si5N12 structure from the Alexandria database. Energies are from GGA-PBE.

The energy relative to the elements, uncorrected is -0.18 eV/atom. The calculation puts the size of the total moment at 5.0 μB/f.u. For the density of states at the Fermi level, the calculation gives 18.45 states/eV per cell.

The space group is Ia-3d (No. 230) and the conventional cell measures 11.2587, 11.2587 and 11.2587 Å, with angles of 90.00, 90.00 and 90.00 degrees. The inequivalent atoms are Mn at (0.0000, 0.2500, 0.1250), Si at (0.0000, 0.0000, 0.0000), Si at (0.0000, 0.2500, 0.3750) and N at (0.0274, 0.0621, 0.6505).